Arrangement i

VASP calculation (SCAN) on a PBEsol-optimized structure of Be2CoNi.

Calculated density   6.63 Mg/m³
Space group   No. 123

Lattice parameters (Å, degrees): 3.620 3.620 2.590 90.00 90.00 90.00
Fractional positions:
Be: 0.000 0.500 0.000
Be: 0.500 0.000 0.000
Co: 0.000 0.000 0.500
Ni: 0.500 0.500 0.500



Arrangement ii

VASP calculation (SCAN) on a PBEsol-optimized structure of Be2CoNi.

Calculated density   6.64 Mg/m³
Space group   No. 225

Lattice parameters (Å, degrees): 3.634 3.634 3.634 60.00 60.00 60.00
Fractional positions:
Be: 0.250 0.250 0.250
Be: 0.750 0.750 0.750
Co: 0.000 0.000 0.000
Ni: 0.500 0.500 0.500



Energetically preferred structure: arrangement ii | next structure: +0.6 kJ/mol of atoms